[1]
## InIrRu2 (PBE)

Data for InIrRu2 after structural relaxation.

- Formation energy from the elements: 0.318 eV per atom

Unit cell a=4.603 b=4.603 c=2.950 alpha=90.00 beta=90.00 gamma=90.00
Fractional positions:
In (0.000, 0.000, 0.000)
Ir (0.500, 0.500, 0.000)
Ru (0.000, 0.500, 0.500)
Ru (0.500, 0.000, 0.500)

***

[2]
## K2PuAgO6 (PBE)

Data for K2PuAgO6 after structural relaxation.

- E_form (uncorrected): -157.6 kJ/mol of atoms

Unit cell a=6.506 b=6.506 c=5.499 alpha=112.18 beta=112.18 gamma=52.10
Fractional positions:
K (0.241, 0.241, 0.210)
K (0.759, 0.759, 0.790)
Pu (0.500, 0.500, 0.000)
Ag (0.000, 0.000, 0.500)
O (0.194, 0.704, 0.205)
O (0.296, 0.806, 0.795)
O (0.331, 0.331, 0.749)
O (0.669, 0.669, 0.251)
O (0.704, 0.194, 0.205)
O (0.806, 0.296, 0.795)

***

Result set for density: 13.532, 5.241 Mg/m³, one per record in the order listed.